No. 1
{
  "formula": "Ac2LaTbSe4",
  "functional": "PBE",
  "state": "optimized geometry",
  "raw_formation_energy_mev_per_atom": -1863,
  "final_energy_ev_per_atom": -5.83,
  "lattice": [[7.457, 0.000, 0.000], [0.000, 4.267, 0.000], [-2.448, 0.000, 7.249]],
  "species": ["Ac", "Ac", "La", "Tb", "Se", "Se", "Se", "Se"],
  "fractional_positions": [[0.000, 0.000, 0.000], [0.500, 0.500, 0.000], [0.000, 0.500, 0.500], [0.500, 0.000, 0.500], [0.253, 0.000, 0.733], [0.266, 0.500, 0.273], [0.734, 0.500, 0.727], [0.747, 0.000, 0.267]]
}

=====

No. 2
{
  "formula": "AcLa3Tb2Se6",
  "functional": "PBE",
  "state": "optimized geometry",
  "raw_formation_energy_mev_per_atom": -1892,
  "final_energy_ev_per_atom": -5.98,
  "lattice": [[3.692, -6.412, 0.000], [3.692, 6.412, 0.000], [-2.484, 0.000, 6.970]],
  "species": ["Ac", "La", "La", "La", "Tb", "Tb", "Se", "Se", "Se", "Se", "Se", "Se"],
  "fractional_positions": [[0.000, 0.000, 0.000], [0.160, 0.840, 0.500], [0.500, 0.500, 0.500], [0.840, 0.160, 0.500], [0.332, 0.668, 0.000], [0.668, 0.332, 0.000], [0.081, 0.430, 0.244], [0.271, 0.271, 0.764], [0.430, 0.081, 0.244], [0.570, 0.919, 0.756], [0.729, 0.729, 0.236], [0.919, 0.570, 0.756]]
}

=====

No. 3
{
  "formula": "AcLaTbSe3",
  "functional": "PBE",
  "state": "optimized geometry",
  "raw_formation_energy_mev_per_atom": -1843,
  "final_energy_ev_per_atom": -5.86,
  "lattice": [[7.428, 0.000, 0.000], [0.000, 4.230, 0.000], [-2.456, 0.000, 10.822]],
  "species": ["Ac", "Ac", "La", "La", "Tb", "Tb", "Se", "Se", "Se", "Se", "Se", "Se"],
  "fractional_positions": [[0.157, 0.250, 0.192], [0.843, 0.750, 0.808], [0.266, 0.750, 0.557], [0.734, 0.250, 0.443], [0.379, 0.250, 0.871], [0.621, 0.750, 0.129], [0.052, 0.250, 0.671], [0.233, 0.750, 0.996], [0.448, 0.750, 0.338], [0.552, 0.250, 0.662], [0.767, 0.250, 0.004], [0.948, 0.750, 0.329]]
}

=====

No. 4
{
  "formula": "Ac2La2Te2Se3",
  "functional": "PBE",
  "state": "optimized geometry",
  "raw_formation_energy_mev_per_atom": -1623,
  "final_energy_ev_per_atom": -5.49,
  "lattice": [[-2.969, 2.969, 8.350], [2.969, -2.969, 8.350], [2.969, 2.969, -8.350]],
  "species": ["Ac", "Ac", "La", "La", "Te", "Te", "Se", "Se", "Se"],
  "fractional_positions": [[0.196, 0.196, 0.000], [0.804, 0.804, 0.000], [0.000, 0.500, 0.500], [0.500, 0.000, 0.500], [0.397, 0.397, 0.000], [0.603, 0.603, 0.000], [0.000, 0.000, 0.000], [0.250, 0.750, 0.500], [0.750, 0.250, 0.500]]
}

=====

No. 5
{
  "formula": "Ac2LaThSe4",
  "functional": "PBE",
  "state": "optimized geometry",
  "raw_formation_energy_mev_per_atom": -1801,
  "final_energy_ev_per_atom": -6.11,
  "lattice": [[7.530, 0.000, 0.000], [0.000, 4.340, 0.000], [-2.508, 0.000, 7.160]],
  "species": ["Ac", "Ac", "La", "Th", "Se", "Se", "Se", "Se"],
  "fractional_positions": [[0.000, 0.000, 0.000], [0.500, 0.500, 0.000], [0.000, 0.500, 0.500], [0.500, 0.000, 0.500], [0.249, 0.000, 0.738], [0.258, 0.500, 0.264], [0.742, 0.500, 0.736], [0.751, 0.000, 0.262]]
}

=====

No. 6
{
  "formula": "Ac3La2ThSe6",
  "functional": "PBE",
  "state": "optimized geometry",
  "raw_formation_energy_mev_per_atom": -1841,
  "final_energy_ev_per_atom": -6.05,
  "lattice": [[9.541, -2.181, 0.000], [9.541, 2.181, 0.000], [-2.080, 0.000, 8.503]],
  "species": ["Ac", "Ac", "Ac", "La", "La", "Th", "Se", "Se", "Se", "Se", "Se", "Se"],
  "fractional_positions": [[0.000, 0.000, 0.000], [0.333, 0.333, 0.666], [0.667, 0.667, 0.334], [0.335, 0.335, 0.169], [0.665, 0.665, 0.831], [0.000, 0.000, 0.500], [0.163, 0.163, 0.588], [0.170, 0.170, 0.078], [0.499, 0.499, 0.260], [0.501, 0.501, 0.740], [0.830, 0.830, 0.922], [0.837, 0.837, 0.412]]
}